[1]
ReNiW2 | PBE-GGA | relaxed

Cell lengths 2.6213, 4.0708, 5.5792 Å; angles 90.00, 90.00, 90.00 degrees
With the nearest neighbours (Å) after each atom.
Element x y z (fractional)
Re 0.0000 0.0000 0.0000  5 W 2.60-2.81, 2 Re 2.62, 4 Ni 2.75
Ni 0.5000 0.5000 0.7666  2 Ni 2.62, 6 W 2.74-2.84, 4 Re 2.75
W 0.0000 0.0000 0.5347  1 Re 2.60, 6 W 2.62-2.87, 4 Ni 2.74
W 0.5000 0.5000 0.2570  6 W 2.62-2.87, 2 Ni 2.74-2.84, 4 Re 2.81

Its calculated formation energy is 204.7 meV per atom. As for the energy above the most stable polymorph in this dataset: 148.5 meV per atom. The space group is Pmm2 (25). As for the density of states at the Fermi level: 3.45 states/eV per cell.

[2]
Tb4YIn3 | PBE-GGA | relaxed

Cell lengths 8.9677, 8.9677, 8.9677 Å; angles 157.46, 120.60, 64.37 degrees
With the nearest neighbours (Å) after each atom.
Element x y z (fractional)
Tb 0.0585 0.8601 0.1984  5 In 3.20-3.27, 1 Y 3.42, 3 Tb 3.50-3.53
Tb 0.3383 0.1399 0.1984  5 In 3.20-3.27, 1 Y 3.42, 3 Tb 3.50-3.53
Tb 0.6617 0.8601 0.8016  5 In 3.20-3.27, 1 Y 3.42, 3 Tb 3.50-3.53
Tb 0.9415 0.1399 0.8016  5 In 3.20-3.27, 1 Y 3.42, 3 Tb 3.50-3.53
Y 0.5000 0.0000 0.5000  4 In 3.30, 4 Tb 3.42, 2 Y 3.50
In 0.0000 0.5000 0.5000  8 Tb 3.27, 2 In 3.50
In 0.3161 0.3161 0.0000  6 Tb 3.20-3.27, 2 Y 3.30, 2 In 3.50
In 0.6839 0.6839 0.0000  6 Tb 3.20-3.27, 2 Y 3.30, 2 In 3.50

Its calculated formation energy is -225.5 meV per atom. As for the energy above the most stable polymorph in this dataset: 130.4 meV per atom. The space group is Immm (71). As for the density of states at the Fermi level: 8.75 states/eV per cell.

[3]
NaPaAgO5 | PBE-GGA | relaxed

Cell lengths 5.8128, 5.8128, 8.2063 Å; angles 96.20, 96.20, 117.18 degrees
With the nearest neighbours (Å) after each atom.
Element x y z (fractional)
Na 0.1873 0.8127 0.7500  3 O 2.33-2.35
Na 0.8127 0.1873 0.2500  3 O 2.33-2.35
Pa 0.5000 0.5000 0.0000  6 O 2.07-2.31
Pa 0.5000 0.5000 0.5000  6 O 2.07-2.31
Ag 0.1558 0.8442 0.2500  4 O 2.03
Ag 0.8442 0.1558 0.7500  4 O 2.03
O 0.1076 0.1180 0.9137  1 Ag 2.03, 1 O 2.17
O 0.1180 0.1076 0.4137  1 Ag 2.03, 1 O 2.17
O 0.2959 0.6927 0.0760  1 Ag 2.03, 1 Pa 2.07
O 0.3073 0.7041 0.4240  1 Ag 2.03, 1 Pa 2.07
O 0.4227 0.5773 0.7500  2 Pa 2.19, 1 Na 2.33
O 0.5773 0.4227 0.2500  2 Pa 2.19, 1 Na 2.33
O 0.6927 0.2959 0.5760  1 Ag 2.03, 1 Pa 2.07
O 0.7041 0.3073 0.9240  1 Ag 2.03, 1 Pa 2.07
O 0.8820 0.8924 0.5863  1 Ag 2.03, 1 O 2.17
O 0.8924 0.8820 0.0863  1 Ag 2.03, 1 O 2.17

The value obtained for the energy relative to the elements, uncorrected is -1690 meV/atom. The space group is C2/c (15).

| no. | magnetization (Bohr magnetons per cell) |
| --- | --- |
| 1 | 0.00 |
| 2 | 0.49 |
| 3 | 1.92 |